Record 1
# AsSeBr2 | Alexandria via LeMat-Bulk | PBE-GGA | relaxed
# ΔE_f (raw) = 0.65 eV/atom
# energy relative to the lowest polymorph listed for this composition = 830 meV/atom
# DFT total energy = -17.77 eV per cell
data_AsSeBr2
_symmetry_space_group_name_H-M 'I 4/m m m'
_symmetry_Int_Tables_number 139
_symmetry_space_group_name_Hall '-I 4 2'
_cell_length_a 4.647
_cell_length_b 4.647
_cell_length_c 8.410
_cell_angle_alpha 90.00
_cell_angle_beta 90.00
_cell_angle_gamma 90.00
loop_
_atom_site_label
_atom_site_fract_x
_atom_site_fract_y
_atom_site_fract_z
As1 0.000 0.000 0.000
Se1 0.000 0.000 0.500
Br1 0.000 0.500 0.250

---

Record 2
# AsSeBr | Alexandria via LeMat-Bulk | PBE-GGA | relaxed
# ΔE_f (raw) = 0.07 eV/atom
# DFT total energy = -38.36 eV per cell
data_AsSeBr
_symmetry_space_group_name_H-M 'F m m 2'
_symmetry_Int_Tables_number 42
_symmetry_space_group_name_Hall 'F 2 -2'
_cell_length_a 3.555
_cell_length_b 8.773
_cell_length_c 14.167
_cell_angle_alpha 90.00
_cell_angle_beta 90.00
_cell_angle_gamma 90.00
loop_
_atom_site_label
_atom_site_fract_x
_atom_site_fract_y
_atom_site_fract_z
As1 0.000 0.000 0.000
Se1 0.000 0.000 0.383
Br1 0.000 0.000 0.650

---

Record 3
# AsSeBr2 | Alexandria via LeMat-Bulk | PBE-GGA | relaxed
# ΔE_f (raw) = -0.18 eV/atom
# energy relative to the lowest polymorph listed for this composition = 0 meV/atom
# DFT total energy = -48.83 eV per cell
data_AsSeBr2
_symmetry_space_group_name_H-M 'P 1 21/c 1'
_symmetry_Int_Tables_number 14
_cell_length_a 8.761
_cell_length_b 4.870
_cell_length_c 15.398
_cell_angle_alpha 90.00
_cell_angle_beta 108.63
_cell_angle_gamma 90.00
loop_
_symmetry_equiv_pos_as_xyz
'x,y,z'
'-x,-y,-z'
'-x,y+1/2,-z+1/2'
'x,-y+1/2,z+1/2'
loop_
_atom_site_label
_atom_site_fract_x
_atom_site_fract_y
_atom_site_fract_z
As1 0.120 0.129 0.348
Se1 0.103 0.193 0.682
Br1 0.158 0.238 0.516
Br2 0.355 0.635 0.861

---

Record 4
# AsSeBr2 | Alexandria via LeMat-Bulk | PBE-GGA | relaxed
# ΔE_f (raw) = -0.15 eV/atom
# energy relative to the lowest polymorph listed for this composition = 27 meV/atom
# DFT total energy = -12.10 eV per cell
data_AsSeBr2
_symmetry_space_group_name_H-M 'P 1 m 1'
_symmetry_Int_Tables_number 6
_cell_length_a 5.712
_cell_length_b 3.791
_cell_length_c 6.522
_cell_angle_alpha 90.00
_cell_angle_beta 91.60
_cell_angle_gamma 90.00
loop_
_symmetry_equiv_pos_as_xyz
'x,y,z'
'x,-y,z'
loop_
_atom_site_label
_atom_site_fract_x
_atom_site_fract_y
_atom_site_fract_z
As1 0.000 0.000 0.000
Se1 0.863 0.500 0.768
Br1 0.377 0.500 0.778
Br2 0.701 0.000 0.249

---

Record 5
# SiAs2SeBr | Alexandria via LeMat-Bulk | PBE-GGA | relaxed
# ΔE_f (raw) = 0.56 eV/atom
# energy relative to the lowest polymorph listed for this composition = 0 meV/atom
# DFT total energy = -17.07 eV per cell
data_SiAs2SeBr
_symmetry_space_group_name_H-M 'P 4/m m m'
_symmetry_Int_Tables_number 123
_symmetry_space_group_name_Hall '-P 4 2'
_cell_length_a 4.941
_cell_length_b 4.941
_cell_length_c 4.739
_cell_angle_alpha 90.00
_cell_angle_beta 90.00
_cell_angle_gamma 90.00
loop_
_atom_site_label
_atom_site_fract_x
_atom_site_fract_y
_atom_site_fract_z
Si1 0.000 0.000 0.000
As1 0.000 0.500 0.000
Se1 0.000 0.000 0.500
Br1 0.500 0.500 0.500

---

Record 6
# SiAsSe2Br | Alexandria via LeMat-Bulk | PBE-GGA | relaxed
# ΔE_f (raw) = 0.47 eV/atom
# energy relative to the lowest polymorph listed for this composition = 3 meV/atom
# DFT total energy = -16.36 eV per cell
data_SiAsSe2Br
_symmetry_space_group_name_H-M 'P 4/m m m'
_symmetry_Int_Tables_number 123
_symmetry_space_group_name_Hall '-P 4 2'
_cell_length_a 4.728
_cell_length_b 4.728
_cell_length_c 5.252
_cell_angle_alpha 90.00
_cell_angle_beta 90.00
_cell_angle_gamma 90.00
loop_
_atom_site_label
_atom_site_fract_x
_atom_site_fract_y
_atom_site_fract_z
Si1 0.000 0.000 0.000
As1 0.000 0.000 0.500
Se1 0.000 0.500 0.000
Br1 0.500 0.500 0.500

---

Record 7
# SiAsSe2Br | Alexandria via LeMat-Bulk | PBE-GGA | relaxed
# ΔE_f (raw) = 1.25 eV/atom
# energy relative to the lowest polymorph listed for this composition = 780 meV/atom
# DFT total energy = -12.48 eV per cell
data_SiAsSe2Br
_symmetry_space_group_name_H-M 'P 4/m m m'
_symmetry_Int_Tables_number 123
_symmetry_space_group_name_Hall '-P 4 2'
_cell_length_a 5.097
_cell_length_b 5.097
_cell_length_c 5.153
_cell_angle_alpha 90.00
_cell_angle_beta 90.00
_cell_angle_gamma 90.00
loop_
_atom_site_label
_atom_site_fract_x
_atom_site_fract_y
_atom_site_fract_z
Si1 0.000 0.000 0.000
As1 0.500 0.500 0.000
Se1 0.000 0.500 0.500
Br1 0.500 0.500 0.500

---

Record 8
# SiAsSe2Br | Alexandria via LeMat-Bulk | PBE-GGA | relaxed
# ΔE_f (raw) = 0.47 eV/atom
# energy relative to the lowest polymorph listed for this composition = 0 meV/atom
# DFT total energy = -16.38 eV per cell
data_SiAsSe2Br
_symmetry_space_group_name_H-M 'P 4/m m m'
_symmetry_Int_Tables_number 123
_symmetry_space_group_name_Hall '-P 4 2'
_cell_length_a 4.934
_cell_length_b 4.934
_cell_length_c 4.802
_cell_angle_alpha 90.00
_cell_angle_beta 90.00
_cell_angle_gamma 90.00
loop_
_atom_site_label
_atom_site_fract_x
_atom_site_fract_y
_atom_site_fract_z
Si1 0.000 0.000 0.000
As1 0.500 0.500 0.500
Se1 0.000 0.500 0.000
Br1 0.000 0.000 0.500

---

Record 9
# SiAs2SeBr | Alexandria via LeMat-Bulk | PBE-GGA | relaxed
# ΔE_f (raw) = 0.62 eV/atom
# energy relative to the lowest polymorph listed for this composition = 60 meV/atom
# DFT total energy = -16.77 eV per cell
data_SiAs2SeBr
_symmetry_space_group_name_H-M 'P 4/m m m'
_symmetry_Int_Tables_number 123
_symmetry_space_group_name_Hall '-P 4 2'
_cell_length_a 4.948
_cell_length_b 4.948
_cell_length_c 4.746
_cell_angle_alpha 90.00
_cell_angle_beta 90.00
_cell_angle_gamma 90.00
loop_
_atom_site_label
_atom_site_fract_x
_atom_site_fract_y
_atom_site_fract_z
Si1 0.000 0.000 0.000
As1 0.000 0.500 0.000
Se1 0.500 0.500 0.500
Br1 0.000 0.000 0.500

---

Record 10
# Sm4As2SeBr | Alexandria via LeMat-Bulk | PBE-GGA | relaxed
# ΔE_f (raw) = -1.56 eV/atom
# DFT total energy = -45.85 eV per cell
data_Sm4As2SeBr
_symmetry_space_group_name_H-M 'P 1 2/m 1'
_symmetry_Int_Tables_number 10
_cell_length_a 7.295
_cell_length_b 4.197
_cell_length_c 7.396
_cell_angle_alpha 90.00
_cell_angle_beta 109.07
_cell_angle_gamma 90.00
loop_
_symmetry_equiv_pos_as_xyz
'x,y,z'
'-x,-y,-z'
'-x,y,-z'
'x,-y,z'
loop_
_atom_site_label
_atom_site_fract_x
_atom_site_fract_y
_atom_site_fract_z
Sm1 0.229 0.000 0.221
Sm2 0.246 0.500 0.772
As1 0.000 0.500 0.000
As2 0.500 0.000 0.000
Se1 0.000 0.000 0.500
Br1 0.500 0.500 0.500

---

Record 11
# Sm6As3Se2Br | Alexandria via LeMat-Bulk | PBE-GGA | relaxed
# ΔE_f (raw) = -1.62 eV/atom
# DFT total energy = -140.79 eV per cell
data_Sm6As3Se2Br
_symmetry_space_group_name_H-M 'C 1 2/m 1'
_symmetry_Int_Tables_number 12
_cell_length_a 18.454
_cell_length_b 4.196
_cell_length_c 8.472
_cell_angle_alpha 90.00
_cell_angle_beta 103.88
_cell_angle_gamma 90.00
loop_
_symmetry_equiv_pos_as_xyz
'x,y,z'
'-x,-y,-z'
'-x,y,-z'
'x,-y,z'
'x+1/2,y+1/2,z'
'-x+1/2,-y+1/2,-z'
'-x+1/2,y+1/2,-z'
'x+1/2,-y+1/2,z'
loop_
_atom_site_label
_atom_site_fract_x
_atom_site_fract_y
_atom_site_fract_z
Sm1 0.002 0.000 0.226
Sm2 0.165 0.500 0.090
Sm3 0.177 0.500 0.581
As1 0.000 0.500 0.000
As2 0.163 0.000 0.334
Se1 0.165 0.000 0.830
Br1 0.000 0.500 0.500

---

Record 12
# SnAs2SeBr | Alexandria via LeMat-Bulk | PBE-GGA | relaxed
# ΔE_f (raw) = 0.87 eV/atom
# energy relative to the lowest polymorph listed for this composition = 324 meV/atom
# DFT total energy = -14.08 eV per cell
data_SnAs2SeBr
_symmetry_space_group_name_H-M 'P 4/m m m'
_symmetry_Int_Tables_number 123
_symmetry_space_group_name_Hall '-P 4 2'
_cell_length_a 5.108
_cell_length_b 5.108
_cell_length_c 5.349
_cell_angle_alpha 90.00
_cell_angle_beta 90.00
_cell_angle_gamma 90.00
loop_
_atom_site_label
_atom_site_fract_x
_atom_site_fract_y
_atom_site_fract_z
Sn1 0.000 0.000 0.000
As1 0.000 0.500 0.500
Se1 0.500 0.500 0.000
Br1 0.500 0.500 0.500

---

Record 13
# SnAs2SeBr | Alexandria via LeMat-Bulk | PBE-GGA | relaxed
# ΔE_f (raw) = 0.55 eV/atom
# energy relative to the lowest polymorph listed for this composition = 0 meV/atom
# DFT total energy = -15.71 eV per cell
data_SnAs2SeBr
_symmetry_space_group_name_H-M 'P 4/m m m'
_symmetry_Int_Tables_number 123
_symmetry_space_group_name_Hall '-P 4 2'
_cell_length_a 5.107
_cell_length_b 5.107
_cell_length_c 5.309
_cell_angle_alpha 90.00
_cell_angle_beta 90.00
_cell_angle_gamma 90.00
loop_
_atom_site_label
_atom_site_fract_x
_atom_site_fract_y
_atom_site_fract_z
Sn1 0.000 0.000 0.000
As1 0.000 0.500 0.500
Se1 0.500 0.500 0.500
Br1 0.500 0.500 0.000

---

Record 14
# SnAsSeBr2 | Alexandria via LeMat-Bulk | PBE-GGA | relaxed
# ΔE_f (raw) = 0.43 eV/atom
# energy relative to the lowest polymorph listed for this composition = 404 meV/atom
# DFT total energy = -13.35 eV per cell
data_SnAsSeBr2
_symmetry_space_group_name_H-M 'P 4/m m m'
_symmetry_Int_Tables_number 123
_symmetry_space_group_name_Hall '-P 4 2'
_cell_length_a 5.370
_cell_length_b 5.370
_cell_length_c 5.722
_cell_angle_alpha 90.00
_cell_angle_beta 90.00
_cell_angle_gamma 90.00
loop_
_atom_site_label
_atom_site_fract_x
_atom_site_fract_y
_atom_site_fract_z
Sn1 0.000 0.000 0.000
As1 0.000 0.000 0.500
Se1 0.500 0.500 0.500
Br1 0.000 0.500 0.000

---

Record 15
# SnAs2SeBr | Alexandria via LeMat-Bulk | PBE-GGA | relaxed
# ΔE_f (raw) = 0.77 eV/atom
# energy relative to the lowest polymorph listed for this composition = 216 meV/atom
# DFT total energy = -14.63 eV per cell
data_SnAs2SeBr
_symmetry_space_group_name_H-M 'P 4/m m m'
_symmetry_Int_Tables_number 123
_symmetry_space_group_name_Hall '-P 4 2'
_cell_length_a 5.391
_cell_length_b 5.391
_cell_length_c 5.244
_cell_angle_alpha 90.00
_cell_angle_beta 90.00
_cell_angle_gamma 90.00
loop_
_atom_site_label
_atom_site_fract_x
_atom_site_fract_y
_atom_site_fract_z
Sn1 0.000 0.000 0.000
As1 0.000 0.500 0.000
Se1 0.500 0.500 0.500
Br1 0.000 0.000 0.500

---

Record 16
# SnAsSeBr2 | Alexandria via LeMat-Bulk | PBE-GGA | relaxed
# ΔE_f (raw) = 0.31 eV/atom
# energy relative to the lowest polymorph listed for this composition = 289 meV/atom
# DFT total energy = -13.92 eV per cell
data_SnAsSeBr2
_symmetry_space_group_name_H-M 'P 4/m m m'
_symmetry_Int_Tables_number 123
_symmetry_space_group_name_Hall '-P 4 2'
_cell_length_a 5.465
_cell_length_b 5.465
_cell_length_c 5.604
_cell_angle_alpha 90.00
_cell_angle_beta 90.00
_cell_angle_gamma 90.00
loop_
_atom_site_label
_atom_site_fract_x
_atom_site_fract_y
_atom_site_fract_z
Sn1 0.000 0.000 0.000
As1 0.500 0.500 0.500
Se1 0.000 0.000 0.500
Br1 0.000 0.500 0.000

---

Record 17
# SnAsSeBr2 | Alexandria via LeMat-Bulk | PBE-GGA | relaxed
# ΔE_f (raw) = 0.34 eV/atom
# energy relative to the lowest polymorph listed for this composition = 313 meV/atom
# DFT total energy = -13.80 eV per cell
data_SnAsSeBr2
_symmetry_space_group_name_H-M 'P 4/m m m'
_symmetry_Int_Tables_number 123
_symmetry_space_group_name_Hall '-P 4 2'
_cell_length_a 5.259
_cell_length_b 5.259
_cell_length_c 5.313
_cell_angle_alpha 90.00
_cell_angle_beta 90.00
_cell_angle_gamma 90.00
loop_
_atom_site_label
_atom_site_fract_x
_atom_site_fract_y
_atom_site_fract_z
Sn1 0.000 0.000 0.000
As1 0.500 0.500 0.000
Se1 0.500 0.500 0.500
Br1 0.000 0.500 0.500

---

Record 18
# SnAs2SeBr | Alexandria via LeMat-Bulk | PBE-GGA | relaxed
# ΔE_f (raw) = 0.75 eV/atom
# energy relative to the lowest polymorph listed for this composition = 196 meV/atom
# DFT total energy = -14.73 eV per cell
data_SnAs2SeBr
_symmetry_space_group_name_H-M 'P 4/m m m'
_symmetry_Int_Tables_number 123
_symmetry_space_group_name_Hall '-P 4 2'
_cell_length_a 5.409
_cell_length_b 5.409
_cell_length_c 5.195
_cell_angle_alpha 90.00
_cell_angle_beta 90.00
_cell_angle_gamma 90.00
loop_
_atom_site_label
_atom_site_fract_x
_atom_site_fract_y
_atom_site_fract_z
Sn1 0.000 0.000 0.000
As1 0.000 0.500 0.000
Se1 0.000 0.000 0.500
Br1 0.500 0.500 0.500

---

Record 19
# SnAsSeBr2 | Alexandria via LeMat-Bulk | PBE-GGA | relaxed
# ΔE_f (raw) = 0.02 eV/atom
# energy relative to the lowest polymorph listed for this composition = 0 meV/atom
# DFT total energy = -15.37 eV per cell
data_SnAsSeBr2
_symmetry_space_group_name_H-M 'P 4/m m m'
_symmetry_Int_Tables_number 123
_symmetry_space_group_name_Hall '-P 4 2'
_cell_length_a 5.196
_cell_length_b 5.196
_cell_length_c 5.376
_cell_angle_alpha 90.00
_cell_angle_beta 90.00
_cell_angle_gamma 90.00
loop_
_atom_site_label
_atom_site_fract_x
_atom_site_fract_y
_atom_site_fract_z
Sn1 0.000 0.000 0.000
As1 0.500 0.500 0.500
Se1 0.500 0.500 0.000
Br1 0.000 0.500 0.500

---

Record 20
# SrAsSeBr2 | Alexandria via LeMat-Bulk | PBE-GGA | relaxed
# ΔE_f (raw) = -0.25 eV/atom
# energy relative to the lowest polymorph listed for this composition = 533 meV/atom
# DFT total energy = -14.42 eV per cell
data_SrAsSeBr2
_symmetry_space_group_name_H-M 'P 4/m m m'
_symmetry_Int_Tables_number 123
_symmetry_space_group_name_Hall '-P 4 2'
_cell_length_a 5.818
_cell_length_b 5.818
_cell_length_c 6.315
_cell_angle_alpha 90.00
_cell_angle_beta 90.00
_cell_angle_gamma 90.00
loop_
_atom_site_label
_atom_site_fract_x
_atom_site_fract_y
_atom_site_fract_z
Sr1 0.000 0.000 0.000
As1 0.500 0.500 0.500
Se1 0.000 0.000 0.500
Br1 0.000 0.500 0.000